Record 1
This record from the Alexandria database describes a geometry-optimized KAgS3 structure. The functional is PBE.

The space group is Pm-3m (No. 221) and the conventional cell measures 4.9561, 4.9561 and 4.9561 Å, with angles of 90.00, 90.00 and 90.00 degrees. The inequivalent atoms are K at (0.0000, 0.0000, 0.0000), Ag at (0.5000, 0.5000, 0.5000) and S at (0.0000, 0.5000, 0.5000).

As for the uncorrected formation energy: 0.14 eV per atom. For the energy, the calculation gives -0.1147 hartree per atom.

---

Record 2
This record from the Alexandria database describes a geometry-optimized K2MgSi2 structure. The functional is PBE.

The space group is P4/mbm (No. 127) and the conventional cell measures 10.2944, 10.2944 and 2.8457 Å, with angles of 90.00, 90.00 and 90.00 degrees. The inequivalent atoms are K at (0.1269, 0.3731, 0.0000), Mg at (0.0000, 0.0000, 0.0000) and Si at (0.1713, 0.6713, 0.5000).

As for the uncorrected formation energy: 0.67 eV per atom. For the energy, the calculation gives -0.0831 hartree per atom.

---

Record 3
This record from the Alexandria database describes a geometry-optimized CdCuGe2O6 structure. The functional is PBE.

The space group is C2/c (No. 15) and the conventional cell measures 10.5336, 9.5831 and 5.7233 Å, with angles of 90.00, 111.06 and 90.00 degrees. The inequivalent atoms are Cd at (0.0000, 0.1024, 0.2500), Cu at (0.0000, 0.2468, 0.7500), Ge at (0.1980, 0.4138, 0.2083), O at (0.1168, 0.2546, 0.0901), O at (0.1219, 0.0942, 0.6664) and O at (0.1408, 0.4626, 0.4568).

As for the uncorrected formation energy: -1.28 eV per atom. For the energy, the calculation gives -0.2087 hartree per atom.

---

Record 4
This record from the Alexandria database describes a geometry-optimized Ce2Al2InPt5 structure. The functional is PBE.

The space group is P4/mbm (No. 127) and the conventional cell measures 10.5682, 10.5682 and 3.4132 Å, with angles of 90.00, 90.00 and 90.00 degrees. The inequivalent atoms are Ce at (0.1790, 0.3210, 0.0000), Al at (0.1234, 0.6234, 0.0000), In at (0.0000, 0.0000, 0.0000), Pt at (0.0000, 0.5000, 0.5000) and Pt at (0.0472, 0.7880, 0.5000).

As for the formation energy: -0.8284 eV per atom. For the energy, the calculation gives -0.2226 hartree per atom.